[1]
Dy9Ho2Er | PBE | relaxed

abc: 4.9900 4.9900 14.9770
angles: 90.00 90.00 90.00
Fractional positions:
Dy  0.0000  0.0000  0.0000
Dy  0.0000  0.0000  0.3332
Dy  0.0000  0.0000  0.6668
Dy  0.0000  0.5000  0.1664
Dy  0.0000  0.5000  0.5000
Dy  0.0000  0.5000  0.8336
Dy  0.5000  0.0000  0.1664
Dy  0.5000  0.0000  0.5000
Dy  0.5000  0.0000  0.8336
Ho  0.5000  0.5000  0.3332
Ho  0.5000  0.5000  0.6668
Er  0.5000  0.5000  0.0000

Computed properties:
**Spin magnetization**: 0.000 μB/atom
**DFT total energy**: -4.574 eV/atom

---

[2]
Dy5HoEr5 | PBE | relaxed

abc: 9.7853 9.7853 6.8773
angles: 110.44 110.44 34.82
Fractional positions:
Dy  0.0000  0.0000  0.0000
Dy  0.3218  0.3218  0.0669
Dy  0.3218  0.3218  0.5759
Dy  0.6782  0.6782  0.4241
Dy  0.6782  0.6782  0.9331
Ho  0.5000  0.5000  0.0000
Er  0.1235  0.1235  0.6244
Er  0.1690  0.1690  0.1698
Er  0.5000  0.5000  0.5000
Er  0.8310  0.8310  0.8302
Er  0.8765  0.8765  0.3756

Computed properties:
**Spin magnetization**: 0.079 μB/atom
**DFT total energy**: -4.295 eV/atom